Density functional theory data (GGA+U) for crystalline CrC3F at its relaxed geometry.

```
CrC3F
1.0
3.785 0.000 0.000
0.000 3.785 0.000
0.000 0.000 3.785
Cr C F
1 3 1
Direct
0.000 0.000 0.000
0.000 0.000 0.500
0.000 0.500 0.000
0.500 0.000 0.000
0.500 0.500 0.500
```

Output
space-group type: No. 221
E_tot: -5.2899 eV per atom
calculated density: 3.278 g cm⁻³